# 1
A plane-wave DFT calculation with PBE was carried out for a geometry-optimized Pm4S5O structure.

It has space group Immm (No. 71), with a = 3.849 Å, b = 7.399 Å, c = 17.322 Å, α = 90.00°, β = 90.00° and γ = 90.00°. The distinct sites, in fractional coordinates, are Pm at (0.000, 0.000, 0.219), Pm at (0.000, 0.273, 0.500), S at (0.000, 0.259, 0.338), S at (0.000, 0.500, 0.000) and O at (0.000, 0.000, 0.000).

=====

# 2
A plane-wave DFT calculation with PBE was carried out for a geometry-optimized PmSO6 structure.

The density of states at the Fermi level comes out at 0.48 states/eV/atom.

It has space group R-3m (No. 166, hexagonal axes), with a = 6.7032 Å, b = 6.7032 Å, c = 6.4958 Å, α = 90.00°, β = 90.00° and γ = 120.00°. The distinct sites, in fractional coordinates, are Pm at (0.0000, 0.0000, 0.0000), S at (0.0000, 0.0000, 0.5000) and O at (0.1081, 0.5541, 0.3189).

=====

# 3
A plane-wave DFT calculation with PBE was carried out for a geometry-optimized PmSO4 structure.

The density of states at the Fermi level comes out at 0.17 states/eV/atom. The distance to the lowest polymorph of the same formula is 40.8 meV/atom.

It has space group I4_1/amd (No. 141, origin choice 2), with a = 7.313 Å, b = 7.313 Å, c = 6.358 Å, α = 90.00°, β = 90.00° and γ = 90.00°. The distinct sites, in fractional coordinates, are Pm at (0.000, 0.250, 0.375), S at (0.000, 0.250, 0.875) and O at (0.000, 0.079, 0.708).

=====

# 4
A plane-wave DFT calculation with PBE was carried out for a geometry-optimized Pm2SO structure.

The density of states at the Fermi level comes out at 0.34 states/eV/atom. The distance to the lowest polymorph of the same formula is 93.9 meV/atom.

It has space group R3m (No. 160, hexagonal axes), with a = 3.6871 Å, b = 3.6871 Å, c = 20.0433 Å, α = 90.00°, β = 90.00° and γ = 120.00°. The distinct sites, in fractional coordinates, are Pm at (0.0000, 0.0000, 0.0000), Pm at (0.0000, 0.0000, 0.1603), S at (0.0000, 0.0000, 0.5803) and O at (0.0000, 0.0000, 0.4099).

=====

# 5
A plane-wave DFT calculation with PBE was carried out for a geometry-optimized Pm3S3O2 structure.

The density of states at the Fermi level comes out at 0.22 states/eV/atom.

It has space group Immm (No. 71), with a = 3.802 Å, b = 4.160 Å, c = 20.623 Å, α = 90.00°, β = 90.00° and γ = 90.00°. The distinct sites, in fractional coordinates, are Pm at (0.000, 0.000, 0.000), Pm at (0.000, 0.500, 0.192), S at (0.000, 0.000, 0.500), S at (0.000, 0.500, 0.386) and O at (0.000, 0.000, 0.247).

=====

# 6
A plane-wave DFT calculation with PBE was carried out for a geometry-optimized PmS2O6 structure.

The density of states at the Fermi level comes out at 0.27 states/eV/atom. The distance to the lowest polymorph of the same formula is 0.0 meV/atom.

It has space group Fdd2 (No. 43), with a = 11.297 Å, b = 12.108 Å, c = 7.399 Å, α = 90.00°, β = 90.00° and γ = 90.00°. The distinct sites, in fractional coordinates, are Pm at (0.000, 0.000, 0.000), S at (0.060, 0.233, 0.679), O at (0.010, 0.125, 0.746), O at (0.049, 0.194, 0.130) and O at (0.125, 0.212, 0.504).

=====

# 7
A plane-wave DFT calculation with PBE was carried out for a geometry-optimized PmSO4 structure.

The distance to the lowest polymorph of the same formula is 0.0 meV/atom.

It has space group P2_1/c (No. 14), with a = 6.306 Å, b = 7.357 Å, c = 9.219 Å, α = 90.00°, β = 131.03° and γ = 90.00°. The distinct sites, in fractional coordinates, are Pm at (0.059, 0.030, 0.309), S at (0.411, 0.689, 0.681), O at (0.225, 0.645, 0.106), O at (0.262, 0.546, 0.531), O at (0.317, 0.230, 0.769) and O at (0.462, 0.626, 0.856).

=====

# 8
A plane-wave DFT calculation with PBE was carried out for a geometry-optimized PmS2O8 structure.

The density of states at the Fermi level comes out at 0.59 states/eV/atom.

It has space group C2/m (No. 12), with a = 9.799 Å, b = 5.373 Å, c = 5.838 Å, α = 90.00°, β = 110.76° and γ = 90.00°. The distinct sites, in fractional coordinates, are Pm at (0.000, 0.000, 0.000), S at (0.202, 0.000, 0.693), O at (0.137, 0.500, 0.206), O at (0.142, 0.221, 0.780) and O at (0.152, 0.000, 0.421).

=====

# 9
A plane-wave DFT calculation with PBE was carried out for a geometry-optimized PmS3O12 structure.

The density of states at the Fermi level comes out at 0.77 states/eV/atom.

It has space group R3c (No. 161, hexagonal axes), with a = 8.4609 Å, b = 8.4609 Å, c = 25.9251 Å, α = 90.00°, β = 90.00° and γ = 120.00°. The distinct sites, in fractional coordinates, are Pm at (0.0000, 0.0000, 0.0000), S at (0.0044, 0.3693, 0.2723), O at (0.0060, 0.4714, 0.3196), O at (0.0676, 0.2355, 0.5630), O at (0.0742, 0.4983, 0.9498) and O at (0.0880, 0.2282, 0.9260).

=====

# 10
A plane-wave DFT calculation with PBE was carried out for a geometry-optimized Pm3S3O structure.

The density of states at the Fermi level comes out at 0.28 states/eV/atom. The distance to the lowest polymorph of the same formula is 0.0 meV/atom.

It has space group Pnma (No. 62), with a = 11.672 Å, b = 3.979 Å, c = 12.879 Å, α = 90.00°, β = 90.00° and γ = 90.00°. The distinct sites, in fractional coordinates, are Pm at (0.033, 0.250, 0.154), Pm at (0.104, 0.250, 0.610), Pm at (0.243, 0.250, 0.869), S at (0.071, 0.250, 0.388), S at (0.147, 0.750, 0.006), S at (0.232, 0.750, 0.711) and O at (0.052, 0.250, 0.800).

=====

# 11
A plane-wave DFT calculation with PBE was carried out for a geometry-optimized Pm2S2O structure.

The density of states at the Fermi level comes out at 0.00 states/eV/atom.

It has space group Cmc2_1 (No. 36), with a = 3.956 Å, b = 15.117 Å, c = 7.186 Å, α = 90.00°, β = 90.00° and γ = 90.00°. The distinct sites, in fractional coordinates, are Pm at (0.000, 0.052, 0.000), Pm at (0.000, 0.335, 0.898), S at (0.000, 0.299, 0.517), S at (0.000, 0.454, 0.195) and O at (0.000, 0.094, 0.333).

=====

# 12
A plane-wave DFT calculation with PBE was carried out for a geometry-optimized Pm2SO2 structure.

The density of states at the Fermi level comes out at 0.00 states/eV/atom.

It has space group C2/m (No. 12), with a = 12.588 Å, b = 4.183 Å, c = 9.353 Å, α = 90.00°, β = 116.87° and γ = 90.00°. The distinct sites, in fractional coordinates, are Pm at (0.013, 0.000, 0.289), Pm at (0.164, 0.500, 0.070), S at (0.161, 0.000, 0.616), O at (0.026, 0.500, 0.182) and O at (0.158, 0.000, 0.969).

=====

# 13
A plane-wave DFT calculation with PBE was carried out for a geometry-optimized Pm2SO structure.

The density of states at the Fermi level comes out at 0.56 states/eV/atom. The distance to the lowest polymorph of the same formula is 0.0 meV/atom.

It has space group C2/m (No. 12), with a = 11.895 Å, b = 5.448 Å, c = 5.448 Å, α = 90.00°, β = 117.23° and γ = 90.00°. The distinct sites, in fractional coordinates, are Pm at (0.109, 0.000, 0.358), Pm at (0.141, 0.500, 0.891), S at (0.125, 0.500, 0.375) and O at (0.125, 0.000, 0.876).

=====

# 14
A plane-wave DFT calculation with PBE was carried out for a geometry-optimized Pm5S5O2 structure.

The density of states at the Fermi level comes out at 0.12 states/eV/atom.

It has space group C2/m (No. 12), with a = 12.776 Å, b = 3.850 Å, c = 10.954 Å, α = 90.00°, β = 106.30° and γ = 90.00°. The distinct sites, in fractional coordinates, are Pm at (0.000, 0.000, 0.000), Pm at (0.102, 0.000, 0.388), Pm at (0.166, 0.500, 0.797), S at (0.000, 0.500, 0.500), S at (0.164, 0.500, 0.058), S at (0.247, 0.000, 0.644) and O at (0.042, 0.000, 0.796).

=====

# 15
A plane-wave DFT calculation with PBE was carried out for a geometry-optimized Pm3SO3 structure.

The density of states at the Fermi level comes out at 0.03 states/eV/atom.

It has space group R-3 (No. 148, hexagonal axes), with a = 6.8109 Å, b = 6.8109 Å, c = 20.2498 Å, α = 90.00°, β = 90.00° and γ = 120.00°. The distinct sites, in fractional coordinates, are Pm at (0.9998, 0.3326, 0.2598), S at (0.0000, 0.0000, 0.1667) and O at (0.0011, 0.6697, 0.6227).

=====

# 16
A plane-wave DFT calculation with PBE was carried out for a geometry-optimized PmSbS2O structure.

It has space group P4/nmm (No. 129, origin choice 2), with a = 3.940 Å, b = 3.940 Å, c = 13.993 Å, α = 90.00°, β = 90.00° and γ = 90.00°. The distinct sites, in fractional coordinates, are Pm at (0.250, 0.250, 0.087), Sb at (0.250, 0.250, 0.636), S at (0.250, 0.250, 0.385), S at (0.250, 0.250, 0.809) and O at (0.250, 0.750, 0.000).

=====

# 17
A plane-wave DFT calculation with PBE was carried out for a geometry-optimized PmScS2O8 structure.

The density of states at the Fermi level comes out at 0.24 states/eV/atom.

It has space group P-3m1 (No. 164), with a = 5.5501 Å, b = 5.5501 Å, c = 6.2825 Å, α = 90.00°, β = 90.00° and γ = 120.00°. The distinct sites, in fractional coordinates, are Pm at (0.0000, 0.0000, 0.0000), Sc at (0.0000, 0.0000, 0.5000), S at (0.3333, 0.6667, 0.2097), O at (0.1839, 0.3678, 0.2857) and O at (0.3333, 0.6667, 0.9761).

=====

# 18
A plane-wave DFT calculation with PBE was carried out for a geometry-optimized Pm2ScS2O2 structure.

The density of states at the Fermi level comes out at 0.26 states/eV/atom.

It has space group I4/mmm (No. 139), with a = 4.077 Å, b = 4.077 Å, c = 14.701 Å, α = 90.00°, β = 90.00° and γ = 90.00°. The distinct sites, in fractional coordinates, are Pm at (0.000, 0.000, 0.130), Sc at (0.000, 0.000, 0.500), S at (0.000, 0.000, 0.324) and O at (0.000, 0.500, 0.000).

=====

# 19
A plane-wave DFT calculation with PBE was carried out for a geometry-optimized Pm8Si3S4O structure.

The density of states at the Fermi level comes out at 0.22 states/eV/atom.

It has space group R-3m (No. 166, hexagonal axes), with a = 8.1292 Å, b = 8.1292 Å, c = 20.0971 Å, α = 90.00°, β = 90.00° and γ = 120.00°. The distinct sites, in fractional coordinates, are Pm at (0.0000, 0.0000, 0.2490), Pm at (0.0113, 0.5056, 0.7460), Si at (0.0000, 0.5000, 0.0000), S at (0.0000, 0.0000, 0.5000), S at (0.0000, 0.5000, 0.5000) and O at (0.0000, 0.0000, 0.0000).

=====

no.,uncorrected formation energy (eV per atom),E_tot (Ry per atom)
1,-2.1251,-0.4840
2,-1.2081,-0.4437
3,-1.8608,-0.4885
4,-2.1457,-0.4992
5,-2.3604,-0.5093
6,-1.7866,-0.4805
7,-1.9017,-0.4915
8,-1.6774,-0.4752
9,-1.3809,-0.4535
10,-2.3959,-0.5078
11,-2.5569,-0.5218
12,-2.8800,-0.5578
13,-2.2396,-0.5061
14,-2.4141,-0.5101
15,-3.0097,-0.5704
16,-1.6623,-0.4468
17,-1.8492,-0.4973
18,-2.6042,-0.5484
19,-1.5895,-0.4648